Below is a geometry-optimized LaTlSb2I structure, with properties calculated at the PBE level.

Values from the calculation:
For the polymorph energy (0 for the lowest one), the calculation gives 0 meV/atom. The raw formation energy comes out at -0.1072 eV per atom. As for the volume: 236.7 Å³ per cell. The calculation puts the calculated density at 5.01 Mg/m³.

```
data_LaTlSb2I
_chemical_formula_sum 'La1 Tl1 Sb2 I1'
_symmetry_space_group_name_H-M 'P 4/m m m'
_symmetry_Int_Tables_number 123
_symmetry_space_group_name_Hall '-P 4 2'
_cell_length_a 6.1246
_cell_length_b 6.1246
_cell_length_c 6.3114
_cell_angle_alpha 90.00
_cell_angle_beta 90.00
_cell_angle_gamma 90.00
loop_
_atom_site_label
_atom_site_type_symbol
_atom_site_fract_x
_atom_site_fract_y
_atom_site_fract_z
La1 La 0.0000 0.0000 0.0000
Tl1 Tl 0.5000 0.5000 0.5000
Sb1 Sb 0.0000 0.5000 0.0000
I1 I 0.0000 0.0000 0.5000
```